Record 1
Entry from Alexandria via LeMat-Bulk: a relaxed structure of DyZrCd6 (GGA-PBE).

The calculation puts the size of the total moment at 0.00 μB per formula unit. Its formation energy from the elements is -163 meV per atom.

The structure belongs to space group P4/mmm (No. 123); the cell edges are 4.5778, 4.5778 and 8.7183 Å and the angles 90.00°, 90.00° and 90.00°. The asymmetric unit holds Dy at (0.0000, 0.0000, 0.0000), Zr at (0.0000, 0.0000, 0.5000), Cd at (0.0000, 0.5000, 0.2600), Cd at (0.5000, 0.5000, 0.0000) and Cd at (0.5000, 0.5000, 0.5000).



Record 2
Entry from Alexandria via LeMat-Bulk: a relaxed structure of TlSiTe (GGA-PBE).

The calculation puts the size of the total moment at 0.00 μB per formula unit. As for the uncorrected formation energy: 577 meV per atom.

The structure belongs to space group F-43m (No. 216); the cell edges are 7.3111, 7.3111 and 7.3111 Å and the angles 90.00°, 90.00° and 90.00°. The asymmetric unit holds Tl at (0.0000, 0.0000, 0.0000), Si at (0.0000, 0.0000, 0.5000) and Te at (0.2500, 0.2500, 0.2500).



Record 3
Entry from Alexandria via LeMat-Bulk: a relaxed structure of HfTl (GGA-PBE).

The calculation puts the size of the total moment at 0.00 μB per formula unit. Its formation energy from the elements is 1358 meV per atom.

The structure belongs to space group F-43m (No. 216); the cell edges are 6.5152, 6.5152 and 6.5152 Å and the angles 90.00°, 90.00° and 90.00°. The asymmetric unit holds Hf at (0.0000, 0.0000, 0.0000) and Tl at (0.2500, 0.2500, 0.7500).



Record 4
Entry from Alexandria via LeMat-Bulk: a relaxed structure of EuYGaIr (GGA-PBE).

The calculation puts the size of the total moment at 6.81 μB per formula unit. Its formation energy from the elements is -490 meV per atom.

The structure belongs to space group F-43m (No. 216); the cell edges are 7.0996, 7.0996 and 7.0996 Å and the angles 90.00°, 90.00° and 90.00°. The asymmetric unit holds Eu at (0.0000, 0.0000, 0.0000), Y at (0.0000, 0.0000, 0.5000), Ga at (0.2500, 0.2500, 0.2500) and Ir at (0.2500, 0.2500, 0.7500).



Record 5
Entry from Alexandria via LeMat-Bulk: a relaxed structure of Ga2Hg5Pb12 (GGA-PBE).

The calculation puts the size of the total moment at 0.00 μB per formula unit. Its formation energy from the elements is 91 meV per atom.

The structure belongs to space group C2/m (No. 12); the cell edges are 18.9191, 7.6219 and 9.3755 Å and the angles 90.00°, 119.24° and 90.00°. The asymmetric unit holds Ga at (0.0000, 0.1698, 0.0000), Hg at (0.0000, 0.5000, 0.5000), Hg at (0.1667, 0.0000, 0.0699), Hg at (0.1860, 0.0000, 0.5764), Pb at (0.0079, 0.0000, 0.6978), Pb at (0.0382, 0.5000, 0.8626), Pb at (0.1476, 0.2780, 0.3070) and Pb at (0.1740, 0.2701, 0.8024).



Record 6
Entry from Alexandria via LeMat-Bulk: a relaxed structure of CaHfHg (GGA-PBE).

The calculation puts the size of the total moment at 0.00 μB per formula unit. Its formation energy from the elements is -181 meV per atom.

The structure belongs to space group P4/nmm (No. 129, origin choice 2); the cell edges are 3.4456, 3.4456 and 13.1339 Å and the angles 90.00°, 90.00° and 90.00°. The asymmetric unit holds Ca at (0.2500, 0.2500, 0.1225), Hf at (0.2500, 0.2500, 0.4279) and Hg at (0.2500, 0.2500, 0.7146).



- Which formula does entry 1 have?
  DyZrCd6